An optimized crystal structure of K2TeF. Source: Alexandria via LeMat-Bulk, functional PBE-GGA.

Unit cell a=5.678 b=5.678 c=5.678 alpha=60.00 beta=60.00 gamma=60.00
Sites, in units of the cell vectors:
K (0.250, 0.250, 0.250)
K (0.750, 0.750, 0.750)
Te (0.500, 0.500, 0.500)
F (0.000, 0.000, 0.000)

Computed properties:
- E above lowest polymorph (eV per atom) = 0.405
- D(E_F) (states/eV/f.u.) = 12.33
- E_form (uncorrected) (eV per atom) = -1.226

***

An optimized crystal structure of LiNdMgIn. Source: Alexandria via LeMat-Bulk, functional PBE-GGA.

Unit cell a=5.156 b=5.156 c=5.156 alpha=60.00 beta=60.00 gamma=60.00
Sites, in units of the cell vectors:
Mg (0.250, 0.250, 0.250)
Li (0.000, 0.000, 0.000)
Nd (0.750, 0.750, 0.750)
In (0.500, 0.500, 0.500)

Computed properties:
- ΔH_f (0 K) (eV per atom) = -0.30
- D(E_F) (states/eV/f.u.) = 2.41

***

An optimized crystal structure of TaInNi2. Source: Alexandria via LeMat-Bulk, functional PBE-GGA.

Unit cell a=8.684 b=8.684 c=8.684 alpha=19.38 beta=19.38 gamma=19.38
Sites, in units of the cell vectors:
In (0.742, 0.742, 0.742)
Ni (0.994, 0.994, 0.994)
Ni (0.255, 0.255, 0.255)
Ta (0.509, 0.509, 0.509)

Computed properties:
- ΔH_f (0 K) (eV per atom) = 0.25
- D(E_F) (states/eV/f.u.) = 3.89

***

An optimized crystal structure of Sm2ThCo6. Source: Alexandria via LeMat-Bulk, functional PBE-GGA.

Unit cell a=4.086 b=6.771 c=6.771 alpha=120.00 beta=90.00 gamma=90.00
Sites, in units of the cell vectors:
Sm (0.000, 0.333, 0.667)
Sm (0.000, 0.667, 0.333)
Th (0.000, 0.000, 0.000)
Co (0.500, 0.333, 0.333)
Co (0.500, 0.667, 0.667)
Co (0.500, 0.000, 0.667)
Co (0.500, 0.667, 0.000)
Co (0.500, 0.333, 0.000)
Co (0.500, 0.000, 0.333)

Computed properties:
- ΔH_f (0 K) (eV per atom) = -0.15
- D(E_F) (states/eV/f.u.) = 9.79

***

An optimized crystal structure of RbNbBi2O6. Source: Alexandria via LeMat-Bulk, functional PBE-GGA.

Unit cell a=7.351 b=8.430 c=8.430 alpha=98.47 beta=73.40 gamma=73.40
Sites, in units of the cell vectors:
Rb (0.250, 0.890, 0.110)
Rb (0.750, 0.110, 0.890)
Nb (0.250, 0.179, 0.821)
Nb (0.750, 0.821, 0.179)
Bi (0.339, 0.712, 0.545)
Bi (0.161, 0.455, 0.288)
Bi (0.661, 0.288, 0.455)
Bi (0.839, 0.545, 0.712)
O (0.225, 0.963, 0.785)
O (0.275, 0.215, 0.037)
O (0.775, 0.037, 0.215)
O (0.725, 0.785, 0.963)
O (0.511, 0.815, 0.334)
O (0.989, 0.666, 0.185)
O (0.489, 0.185, 0.666)
O (0.011, 0.334, 0.815)
O (0.043, 0.650, 0.554)
O (0.457, 0.446, 0.350)
O (0.957, 0.350, 0.446)
O (0.543, 0.554, 0.650)

Computed properties:
- D(E_F) (states/eV/f.u.) = 0.00
- E_form (uncorrected) (eV per atom) = -1.751

***

An optimized crystal structure of TiTlAu. Source: Alexandria via LeMat-Bulk, functional PBE-GGA.

Unit cell a=10.406 b=4.612 c=3.076 alpha=90.06 beta=98.39 gamma=116.07
Sites, in units of the cell vectors:
Tl (0.630, 0.651, 0.422)
Tl (0.413, 0.933, 0.813)
Au (0.858, 0.378, 0.538)
Au (0.185, 0.206, 0.699)
Ti (0.930, 0.949, 0.071)
Ti (0.114, 0.634, 0.165)

Computed properties:
- ΔH_f (0 K) (eV per atom) = -0.06
- D(E_F) (states/eV/f.u.) = 2.77